# KLi2MnPCO7 | the Alexandria database | PBE+U | optimized geometry
# Raw total energy (eV per atom): -6.7469
# Fermi-level density of states (states/eV per cell): 0.0
# Total magnetization (μB per formula unit): 5.0
data_KLi2MnPCO7
_cell_length_a 5.477
_cell_length_b 6.856
_cell_length_c 8.977
_cell_angle_alpha 90.00
_cell_angle_beta 95.78
_cell_angle_gamma 90.00
_space_group_name_H-M_alt 'P 1'
_space_group_IT_number 1
_space_group_name_Hall 'P 1'
loop_
_atom_site_label
_atom_site_fract_x
_atom_site_fract_y
_atom_site_fract_z
_atom_site_occupancy
K1 0.201 0.000 0.221 1
K2 0.799 0.500 0.779 1
Li1 0.219 0.458 0.201 1
Li2 0.315 0.101 0.849 1
Li3 0.685 0.601 0.151 1
Li4 0.781 0.958 0.799 1
Mn1 0.223 0.803 0.615 1
Mn2 0.777 0.303 0.385 1
P1 0.293 0.312 0.565 1
P2 0.707 0.812 0.435 1
C1 0.309 0.781 0.942 1
C2 0.691 0.281 0.058 1
O1 0.099 0.874 0.923 1
O2 0.170 0.319 0.400 1
O3 0.202 0.128 0.647 1
O4 0.224 0.493 0.655 1
O5 0.367 0.677 0.059 1
O6 0.425 0.799 0.436 1
O7 0.462 0.806 0.840 1
O8 0.538 0.306 0.160 1
O9 0.575 0.299 0.564 1
O10 0.633 0.177 0.941 1
O11 0.776 0.993 0.345 1
O12 0.798 0.628 0.353 1
O13 0.830 0.819 0.600 1
O14 0.901 0.374 0.077 1